Ca2VZnPb: optimized geometry, PBE. Values from VASP.

Properties
V in Å³ per cell: 174
Formation enthalpy at 0 K in eV per atom: 0.4922
Space-group type: No. 123
E in eV/atom: -3.13

Structure (Quantum ESPRESSO input):
```
&SYSTEM
  ibrav = 0, nat = 5, ntyp = 4
/
ATOMIC_SPECIES
Ca 40.08 Ca.upf
V 50.94 V.upf
Zn 65.41 Zn.upf
Pb 207.20 Pb.upf
CELL_PARAMETERS angstrom
5.779 0.000 0.000
0.000 5.779 0.000
0.000 0.000 5.211
ATOMIC_POSITIONS angstrom
Ca 0.000 2.889 0.000
Ca 2.889 0.000 0.000
V 0.000 0.000 0.000
Zn 2.889 2.889 2.605
Pb 0.000 0.000 2.605
```